No. 1
Compound: Pm2Ge6RuRh
Source: Alexandria
Functional: PBE
Structure: optimized geometry

a b c (Å): 9.9613 9.9613 9.9613
angles (deg): 44.90 44.90 44.90
Fractional positions:
Pm1 0.1384 0.1384 0.1384
Pm2 0.2873 0.2873 0.2873
Pm3 0.7127 0.7127 0.7127
Pm4 0.8616 0.8616 0.8616
Ge1 0.1339 0.6084 0.6084
Ge2 0.2066 0.2066 0.7498
Ge3 0.2066 0.7498 0.2066
Ge4 0.2502 0.7934 0.7934
Ge5 0.3916 0.3916 0.8661
Ge6 0.3916 0.8661 0.3916
Ge7 0.6084 0.1339 0.6084
Ge8 0.6084 0.6084 0.1339
Ge9 0.7498 0.2066 0.2066
Ge10 0.7934 0.2502 0.7934
Ge11 0.7934 0.7934 0.2502
Ge12 0.8661 0.3916 0.3916
Ru1 0.3912 0.3912 0.3912
Ru2 0.6088 0.6088 0.6088
Rh1 0.0000 0.0000 0.0000
Rh2 0.5000 0.5000 0.5000

uncorrected energy: -5.66 eV/atom
formation energy from the elements: -2.8 eV/f.u.
calculated density: 6.89 g cm⁻³

No. 2
Compound: TcTeP2
Source: Alexandria
Functional: PBE
Structure: optimized geometry

a b c (Å): 3.1822 3.1822 7.4217
angles (deg): 90.00 90.00 90.00
Fractional positions:
Tc1 0.0000 0.0000 0.0000
Te1 0.5000 0.5000 0.2235
P1 0.0000 0.0000 0.6671
P2 0.5000 0.5000 0.7961

uncorrected energy: -5.98 eV/atom
calculated density: 6.35 g cm⁻³